The following is a GGA-PBE calculation of an optimized crystal structure of KNb2, from Alexandria via LeMat-Bulk.

Lattice parameters (Å, degrees): 3.388 4.267 13.445 81.45 89.53 90.00
Space group P1 (No. 1)
One atom of each set of equivalent atoms:
1 K 0.000 0.000 0.000 x1
2 K 0.492 0.653 0.690 x1
3 Nb 0.004 0.366 0.255 x1
4 Nb 0.497 0.281 0.436 x1
5 Nb 0.503 0.865 0.257 x1
6 Nb 0.998 0.782 0.433 x1

Summary:
crystal system: triclinic
formation energy from the elements: 0.458 eV per atom